Entry 1:
# SrCl2 PBEsol optimized geometry
data_SrCl2
_chemical_formula_sum 'Sr4 Cl8'
_cell_length_a 4.403
_cell_length_b 18.536
_cell_length_c 5.530
_cell_angle_alpha 90.00
_cell_angle_beta 90.00
_cell_angle_gamma 90.00
_space_group_name_H-M_alt 'C m c m'
_space_group_IT_number 63
_space_group_name_Hall '-C 2c 2'
loop_
_atom_site_label
_atom_site_type_symbol
_atom_site_fract_x
_atom_site_fract_y
_atom_site_fract_z
_atom_site_occupancy
Sr1 Sr 0.000 0.167 0.250 1
Cl1 Cl 0.000 0.220 0.750 1
Cl2 Cl 0.000 0.421 0.750 1
# - V (Å³/f.u.) = 112.8
# - E (eV/atom) = -4.31
# - uncorrected formation energy (meV per atom) = -2360

=====

Entry 2:
# Sr3Cl5 PBEsol optimized geometry
data_Sr3Cl5
_chemical_formula_sum 'Sr6 Cl10'
_cell_length_a 8.185
_cell_length_b 11.884
_cell_length_c 4.449
_cell_angle_alpha 90.00
_cell_angle_beta 90.00
_cell_angle_gamma 90.00
_space_group_name_H-M_alt 'C m m m'
_space_group_IT_number 65
_space_group_name_Hall '-C 2 2'
loop_
_atom_site_label
_atom_site_type_symbol
_atom_site_fract_x
_atom_site_fract_y
_atom_site_fract_z
_atom_site_occupancy
Sr1 Sr 0.000 0.000 0.000 1
Sr2 Sr 0.000 0.336 0.500 1
Cl1 Cl 0.000 0.500 0.000 1
Cl2 Cl 0.216 0.000 0.500 1
Cl3 Cl 0.250 0.250 0.000 1
# - V (Å³/f.u.) = 216.4
# - E (eV/atom) = -4.09
# - uncorrected formation energy (meV per atom) = -2145

=====

Which formula does entry 1 have?
SrCl2

=====

Look up the uncorrected formation energy of the first one.
-2360 meV per atom